Record 1
Material: NaTh2Pd
Method: DFT, PBE
State: relaxed

Computed properties:
total magnetic moment = 0.0 μB/cell
raw total energy = -5.3163 eV/atom

Cell: 3.554 3.554 11.793 Å, 81.33 81.33 60.00°
Element x y z (fractional)
Na 0.000 0.000 0.000
Th 0.105 0.105 0.685
Th 0.895 0.895 0.315
Pd 0.500 0.500 0.500

***

Record 2
Material: NaTiPd2
Method: DFT, PBE
State: relaxed

Computed properties:
total magnetic moment = 0.0 μB/cell
raw total energy = -5.2883 eV/atom

Cell: 3.122 3.122 7.424 Å, 90.00 90.00 90.00°
Element x y z (fractional)
Ti 0.500 0.500 0.000
Pd 0.000 0.000 0.799
Pd 0.000 0.000 0.201
Na 0.500 0.500 0.500

***

Record 3
Material: NaTiPd2
Method: DFT, PBE
State: relaxed

Computed properties:
total magnetic moment = 0.0 μB/cell
raw total energy = -5.0987 eV/atom

Cell: 2.885 4.793 4.793 Å, 90.00 90.00 90.00°
Element x y z (fractional)
Ti 0.500 0.500 0.500
Pd 0.000 0.000 0.500
Pd 0.000 0.500 0.000
Na 0.500 0.000 0.000

***

Record 4
Material: Na3TiPd
Method: DFT, PBE
State: relaxed

Computed properties:
total magnetic moment = 3.2 μB/cell
raw total energy = -2.1031 eV/atom

Cell: 5.692 5.692 5.692 Å, 90.00 90.00 90.00°
Site moments in Bohr magnetons follow the coordinates.
Element x y z (fractional)
Ti 0.000 0.000 0.000  2.20
Pd 0.500 0.500 0.500  -0.09
Na 0.000 0.000 0.500  0.03
Na 0.000 0.500 0.000  0.04
Na 0.500 0.000 0.000  0.05

***

Number 1: ρ 7.8 g cm⁻³, formation energy from the elements 0.02 eV per atom, V 127 Å³/cell. Number 2: ρ 6.5 g cm⁻³, formation energy from the elements -0.39 eV per atom, V 72 Å³/cell. Number 3: ρ 7.1 g cm⁻³, formation energy from the elements -0.20 eV per atom, V 66 Å³/cell. Number 4: ρ 2.0 g cm⁻³, formation energy from the elements 1.31 eV per atom, V 184 Å³/cell.